A geometry-optimized SrLi2NbIr structure, computed with GGA-PBE.

Lattice parameters (Å, degrees): 4.7631 4.7631 5.4944 90.00 90.00 90.00
Sites, in units of the cell vectors:
Sr  0.0000  0.0000  0.0000
Li  0.0000  0.5000  0.5000
Li  0.5000  0.0000  0.5000
Nb  0.5000  0.5000  0.0000
Ir  0.0000  0.0000  0.5000

Output
- formation energy from the elements (eV per atom) = 1.181

---

A geometry-optimized Rb2ZnAsH structure, computed with GGA-PBE.

Lattice parameters (Å, degrees): 7.2558 4.2542 10.1592 90.00 110.14 90.00
Sites, in units of the cell vectors:
Rb  0.1929  0.2500  0.4071
Rb  0.2228  0.2500  0.9520
Rb  0.7772  0.7500  0.0480
Rb  0.8071  0.7500  0.5929
Zn  0.4609  0.7500  0.2437
Zn  0.5391  0.2500  0.7563
As  0.3590  0.7500  0.7144
As  0.6410  0.2500  0.2856
H  0.2087  0.7500  0.1751
H  0.7913  0.2500  0.8249

Output
- energy (eV/atom) = -2.5867

---

A geometry-optimized Cs2S2O7 structure, computed with GGA-PBE.

Lattice parameters (Å, degrees): 6.7141 6.7141 5.3052 92.53 92.53 105.31
Sites, in units of the cell vectors:
Cs  0.2146  0.7854  0.0000
Cs  0.7854  0.2146  0.0000
S  0.3004  0.3004  0.5196
S  0.6996  0.6996  0.4804
O  0.1534  0.3833  0.6567
O  0.2328  0.2328  0.2569
O  0.3833  0.1534  0.6567
O  0.5000  0.5000  0.5000
O  0.6167  0.8466  0.3433
O  0.7672  0.7672  0.7431
O  0.8466  0.6167  0.3433

Output
- formation energy without anion corrections (eV/atom) = -1.614

---

A geometry-optimized CeAlGa4Pd2 structure, computed with GGA-PBE.

Lattice parameters (Å, degrees): 9.0624 9.0624 9.0624 28.10 28.10 28.10
Sites, in units of the cell vectors:
Ce  0.0000  0.0000  0.0000
Al  0.5000  0.5000  0.5000
Ga  0.1229  0.1229  0.1229
Ga  0.3964  0.3964  0.3964
Ga  0.6036  0.6036  0.6036
Ga  0.8771  0.8771  0.8771
Pd  0.2341  0.2341  0.2341
Pd  0.7659  0.7659  0.7659

Output
- formation energy from the elements (eV per atom) = -0.453

---

A geometry-optimized YHf2Sc6 structure, computed with GGA-PBE.

Lattice parameters (Å, degrees): 3.2934 3.2934 23.8590 90.00 90.00 120.00
Sites, in units of the cell vectors:
Y  0.0000  0.0000  0.0000
Hf  0.6667  0.3333  0.3329
Hf  0.6667  0.3333  0.6671
Sc  0.0000  0.0000  0.2280
Sc  0.0000  0.0000  0.4359
Sc  0.0000  0.0000  0.5641
Sc  0.0000  0.0000  0.7720
Sc  0.6667  0.3333  0.1182
Sc  0.6667  0.3333  0.8818

Output
- formation energy from the elements (eV per atom) = 0.057

---

A geometry-optimized Hg2GeTe4 structure, computed with GGA-PBE.

Lattice parameters (Å, degrees): 7.5173 7.5173 7.5173 128.51 128.51 75.80
Sites, in units of the cell vectors:
Hg  0.2500  0.7500  0.5000
Hg  0.7500  0.2500  0.5000
Ge  0.0000  0.0000  0.0000
Te  0.1465  0.6433  0.0000
Te  0.3567  0.3567  0.5032
Te  0.6433  0.1465  0.0000
Te  0.8535  0.8535  0.4968

Output
- formation energy without anion corrections (eV/atom) = -0.100

---

A geometry-optimized TbPr12Cd6 structure, computed with GGA-PBE.

Lattice parameters (Å, degrees): 8.3952 8.3952 8.3952 88.03 88.03 88.03
Sites, in units of the cell vectors:
Tb  0.0000  0.0000  0.0000
Pr  0.0456  0.3865  0.1542
Pr  0.1542  0.0456  0.3865
Pr  0.1917  0.5697  0.4687
Pr  0.3865  0.1542  0.0456
Pr  0.4303  0.5313  0.8083
Pr  0.4687  0.1917  0.5697
Pr  0.5313  0.8083  0.4303
Pr  0.5697  0.4687  0.1917
Pr  0.6135  0.8458  0.9544
Pr  0.8083  0.4303  0.5313
Pr  0.8458  0.9544  0.6135
Pr  0.9544  0.6135  0.8458
Cd  0.1137  0.2612  0.7423
Cd  0.2577  0.8863  0.7388
Cd  0.2612  0.7423  0.1137
Cd  0.7388  0.2577  0.8863
Cd  0.7423  0.1137  0.2612
Cd  0.8863  0.7388  0.2577

Output
- formation energy from the elements (eV per atom) = -0.109

---

A geometry-optimized RbZrTa3 structure, computed with GGA-PBE.

Lattice parameters (Å, degrees): 5.1542 5.1542 5.1542 90.00 90.00 90.00
Sites, in units of the cell vectors:
Rb  0.0000  0.0000  0.0000
Zr  0.5000  0.5000  0.5000
Ta  0.0000  0.5000  0.5000
Ta  0.5000  0.0000  0.5000
Ta  0.5000  0.5000  0.0000

Output
- excess energy over the best structure of this formula in the dataset (meV per atom) = 0
- formation energy from the elements (eV per atom) = 2.084

---

Number 1: volume 24.93 Å³/atom, total moment 0.4 μB per formula unit. Number 2: volume 29.44 Å³/atom, total moment 0.0 μB per formula unit. Number 3: volume 20.91 Å³/atom, total moment 0.0 μB per formula unit. Number 4: volume 18.23 Å³/atom, total moment 0.5 μB per formula unit. Number 5: volume 24.90 Å³/atom, total moment 2.0 μB per formula unit. Number 6: volume 36.14 Å³/atom, total moment 0.0 μB per formula unit. Number 7: volume 31.09 Å³/atom, total moment 0.0 μB per formula unit. Number 8: volume 27.39 Å³/atom, total moment 0.0 μB per formula unit.